Below is a geometry-optimized CaBi2SbO8 structure, with properties calculated at the PBE level.

Results
ΔE_f (raw) in eV per atom: -1.411
Symmetry: No. 10
Electronic total energy in Ry per atom: -0.4317
DOS(E_F) in states/eV/f.u.: 2.5

POSCAR file:
```
CaBi2SbO8
1.0
-0.377 -2.535 -4.295
-1.755 -4.040 2.365
-6.465 2.334 -0.810
Ca Bi Sb O
1 2 1 8
direct
0.000 0.000 0.500
0.500 0.500 0.752
0.500 0.500 0.248
0.000 0.000 0.000
0.187 0.812 0.220
0.708 0.710 0.000
0.813 0.188 0.220
0.813 0.188 0.780
0.292 0.290 0.000
0.187 0.812 0.780
0.681 0.684 0.500
0.319 0.316 0.500
```